VASP calculation (PBEsol) on a relaxed structure of Li2As.

a = 3.397 Å, b = 3.397 Å, c = 4.598 Å
α = 111.68°, β = 111.68°, γ = 90.00°
Positions (direct):
Li1 0.338 0.338 0.677
Li2 0.662 0.662 0.323
As1 0.000 0.000 0.000

Results
Offset from the most stable computed form: 0.091 eV/atom
Formation enthalpy at 0 K: -0.560 eV per atom
Symmetry: I4/mmm (139)